{"formula": "Np2PAu", "functional": "PBE-GGA", "state": "relaxed", "spacegroup": "No. 166", "magnetic_moment_mub_per_fu": 8.5, "volume_a3_per_cell": 95.52, "mass_density_g_cm3": 12.2, "ef_ev_per_atom": -0.256, "de_polymorph_ev_per_fu": 0.43, "e_tot_ev_per_cell": -35.59, "lattice_angstrom": [[3.784, 0.000, 0.000], [1.892, 3.277, 0.000], [1.892, 1.092, 7.703]], "species": ["Np", "Np", "P", "Au"], "fractional_positions": [[0.259, 0.259, 0.223], [0.741, 0.741, 0.777], [0.000, 0.000, 0.000], [0.500, 0.500, 0.500]]}

{"formula": "KAcPbS3", "functional": "PBE-GGA", "state": "relaxed", "spacegroup": "No. 11", "magnetic_moment_mub_per_fu": 0.0, "volume_a3_per_cell": 437.59, "mass_density_g_cm3": 4.3, "e_form_raw_ev_per_atom": -1.3481, "e_tot_ev_per_cell": -58.77, "lattice_angstrom": [[-0.499, 4.181, 0.874], [1.949, -1.564, 8.591], [10.885, 1.879, -2.779]], "species": ["K", "K", "Ac", "Ac", "Pb", "Pb", "S", "S", "S", "S", "S", "S"], "fractional_positions": [[0.250, 0.132, 0.138], [0.750, 0.868, 0.862], [0.250, 0.617, 0.150], [0.750, 0.383, 0.850], [0.250, 0.141, 0.602], [0.750, 0.859, 0.398], [0.750, 0.859, 0.158], [0.250, 0.141, 0.842], [0.250, 0.674, 0.409], [0.750, 0.326, 0.591], [0.750, 0.392, 0.115], [0.250, 0.608, 0.885]]}

{"formula": "PaFe12As6", "functional": "PBE-GGA", "state": "relaxed", "spacegroup": "No. 166", "magnetic_moment_mub_per_fu": 16.4, "volume_a3_per_cell": 263.37, "mass_density_g_cm3": 8.5, "ef_ev_per_atom": -0.034, "e_tot_ev_per_cell": -139.60, "lattice_angstrom": [[6.737, -0.079, -0.112], [-1.747, 6.507, -0.112], [-1.747, -2.250, 6.106]], "species": ["Pa", "Fe", "Fe", "Fe", "Fe", "Fe", "Fe", "Fe", "Fe", "Fe", "Fe", "Fe", "Fe", "As", "As", "As", "As", "As", "As"], "fractional_positions": [[0.000, 0.000, 0.000], [0.873, 0.127, 0.500], [0.830, 0.581, 0.581], [0.581, 0.581, 0.830], [0.419, 0.170, 0.419], [0.419, 0.419, 0.170], [0.170, 0.419, 0.419], [0.127, 0.500, 0.873], [0.500, 0.873, 0.127], [0.127, 0.873, 0.500], [0.873, 0.500, 0.127], [0.500, 0.127, 0.873], [0.581, 0.830, 0.581], [0.700, 0.244, 0.244], [0.244, 0.244, 0.700], [0.244, 0.700, 0.244], [0.756, 0.756, 0.300], [0.300, 0.756, 0.756], [0.756, 0.300, 0.756]]}

Please write out number 2 again, unchanged.
{"formula": "KAcPbS3", "functional": "PBE-GGA", "state": "relaxed", "spacegroup": "No. 11", "magnetic_moment_mub_per_fu": 0.0, "volume_a3_per_cell": 437.59, "mass_density_g_cm3": 4.3, "e_form_raw_ev_per_atom": -1.3481, "e_tot_ev_per_cell": -58.77, "lattice_angstrom": [[-0.499, 4.181, 0.874], [1.949, -1.564, 8.591], [10.885, 1.879, -2.779]], "species": ["K", "K", "Ac", "Ac", "Pb", "Pb", "S", "S", "S", "S", "S", "S"], "fractional_positions": [[0.250, 0.132, 0.138], [0.750, 0.868, 0.862], [0.250, 0.617, 0.150], [0.750, 0.383, 0.850], [0.250, 0.141, 0.602], [0.750, 0.859, 0.398], [0.750, 0.859, 0.158], [0.250, 0.141, 0.842], [0.250, 0.674, 0.409], [0.750, 0.326, 0.591], [0.750, 0.392, 0.115], [0.250, 0.608, 0.885]]}